[1]
PBE YRh2Au, relaxed; total moment = 0.00 μB per formula unit
1.0
-2.3090 1.6465 2.1081
-2.6729 -1.3121 -1.9028
-0.1734 -4.7385 3.5110
Y Rh Au
1 2 1
direct
0.0000 0.0000 0.4865
0.5000 0.5000 0.2201
0.0000 0.0000 0.0294
0.5000 0.5000 0.7639

[2]
PBE YRh2Au, relaxed; total moment = 0.36 μB per formula unit
1.0
-4.0281 -3.1174 -0.5695
-1.7744 -2.7015 -3.9776
0.9690 -3.9939 0.1533
Au Rh Y
1 2 1
direct
0.2501 0.2501 0.2500
0.7499 0.7499 0.7504
0.0001 0.0001 0.9996
0.4999 0.4999 0.5000

[3]
PBE YRh2Au, relaxed; total moment = 0.00 μB per formula unit
1.0
4.6175 0.0000 0.0000
0.0000 3.1047 0.0361
0.0000 0.5622 5.1864
Au Rh Y
1 2 1
direct
0.5000 0.7500 0.7500
0.0000 0.8960 0.9951
0.0000 0.6040 0.5049
0.5000 0.2500 0.2500

[4]
PBE YRhAu2, relaxed; total moment = 0.00 μB per formula unit
1.0
-1.8942 -2.4411 2.5007
-0.5867 -2.5819 -2.9648
7.6542 -7.1121 2.0144
Y Rh Au
2 2 4
direct
0.5000 0.5000 0.0000
0.2500 0.7500 0.5000
0.0000 0.0000 0.0000
0.7500 0.2500 0.5000
0.6388 0.1250 0.2500
0.3750 0.3612 0.7500
0.8750 0.8888 0.7500
0.1112 0.6250 0.2500

[5]
PBE YRh2Au, relaxed; total moment = 0.00 μB per formula unit
1.0
-1.3506 0.8843 -3.0464
-3.0824 -1.1481 1.0333
-1.3225 5.5206 2.1887
Au Y Rh
1 1 2
direct
0.5000 0.5000 0.7500
0.5000 0.5000 0.2500
0.0000 0.0000 0.9812
0.0000 0.0000 0.5188

[6]
PBE YRh2Au, relaxed; total moment = 0.00 μB per formula unit
1.0
5.0605 -0.0016 -0.0048
-2.4421 4.9070 0.0034
0.1763 0.9573 2.9126
Au Y Rh
1 1 2
direct
0.5000 0.5000 0.0000
0.0000 0.5000 0.5000
0.5000 0.0000 0.5000
0.0000 0.0000 0.0000

[7]
PBE YRhAu2, relaxed; total moment = 0.00 μB per formula unit
1.0
4.2334 -0.4395 0.0000
-1.6064 5.0467 0.0000
0.0000 0.0000 7.7304
Y Au Rh
2 4 2
direct
0.0661 0.1307 0.2500
0.9339 0.8693 0.7500
0.3632 0.7277 0.4405
0.6368 0.2723 0.5595
0.3632 0.7277 0.0595
0.6368 0.2723 0.9405
0.7673 0.5362 0.2500
0.2327 0.4638 0.7500

[8]
PBE Y6Rh2Au, relaxed; total moment = 0.00 μB per formula unit
1.0
7.9016 -0.0682 -2.9256
-4.1994 6.9310 -2.3078
-0.1279 0.0682 8.4248
Rh Y Au
4 12 2
direct
0.5000 0.3697 0.8697
0.5000 0.6303 0.1303
0.3348 0.0000 0.3348
0.6652 0.0000 0.6652
0.1923 0.7584 0.9507
0.3063 0.6364 0.3301
0.4589 0.2802 0.1788
0.8077 0.7584 0.5662
0.6937 0.3636 0.6699
0.8077 0.2416 0.0493
0.1923 0.2416 0.4338
0.8986 0.7198 0.1788
0.5411 0.7198 0.8212
0.6937 0.0239 0.3301
0.3063 0.9761 0.6699
0.1014 0.2802 0.8212
0.0000 0.0000 0.0000
0.0000 0.5000 0.5000

[9]
PBE YRh2Au, relaxed; total moment = 0.00 μB per formula unit
1.0
0.5201 3.9474 -3.2981
-2.5089 0.8620 -4.4376
-3.3851 3.7408 -1.1303
Rh Au Y
2 1 1
direct
0.9624 0.9624 0.9624
0.3006 0.3006 0.3006
0.7288 0.7288 0.7288
0.5082 0.5082 0.5082

[10]
PBE YRh2Au, relaxed; total moment = 0.00 μB per formula unit
1.0
-2.4637 2.1559 -2.5056
1.9287 -1.6003 -3.2734
-6.4012 -6.8704 -3.0089
Rh Y Au
4 2 2
direct
0.3750 0.3200 0.7500
0.0700 0.6250 0.2500
0.8750 0.9300 0.7500
0.6800 0.1250 0.2500
0.5000 0.5000 0.0000
0.2500 0.7500 0.5000
0.7500 0.2500 0.5000
0.0000 0.0000 0.0000

[11]
PBE YRhAu2, relaxed; total moment = 0.00 μB per formula unit
1.0
-1.4577 5.0604 1.0843
-4.4128 0.5477 3.0226
4.5518 -2.8446 0.3127
Rh Au Y
1 2 1
direct
0.7500 0.2500 0.5000
0.0000 0.0000 0.0000
0.5000 0.5000 0.0000
0.2500 0.7500 0.5000

[12]
PBE Y8RhAu2, relaxed; total moment = 0.00 μB per formula unit
1.0
5.1453 0.0000 0.0000
0.0000 6.8092 0.2410
-2.5727 -2.6344 8.3739
Y Au Rh
8 2 1
direct
0.0301 0.7877 0.0601
0.4110 0.5617 0.8220
0.9699 0.2123 0.9399
0.2025 0.3169 0.4049
0.5890 0.4383 0.1780
0.3394 0.0304 0.6789
0.7975 0.6831 0.5951
0.6606 0.9696 0.3211
0.8122 0.2734 0.6244
0.1878 0.7266 0.3756
0.5000 0.0000 0.0000

Energy relative to the elements
In order: -134 -176 -89 -143 -135 -101 -222 -533 -185 -70 -248 -520
Unit: kJ/mol of formula units